Entry from Alexandria: a relaxed Li4Cr3CuO8 crystal (PBE with a Hubbard U).

The crystal system is trigonal. The total energy is -6.414 eV per atom. The value obtained for the total magnetization is 10.67 μB per formula unit.

The space group is R-3m (No. 166, hexagonal axes) and the conventional cell measures 5.9130, 5.9130 and 14.5704 Å, with angles of 90.00, 90.00 and 120.00 degrees. Symmetry generates all atoms from Li at (0.0000, 0.0000, 0.0000), Li at (0.0000, 0.5000, 0.0000), Cr at (0.0000, 0.5000, 0.5000), Cu at (0.0000, 0.0000, 0.5000), O at (0.0000, 0.0000, 0.2417) and O at (0.0030, 0.5015, 0.7573).